An optimized crystal structure of CsNbTc2, computed with PBE.

Geometry as POSCAR:
```
CsNbTc2
1.0
-2.5670 2.5670 8.6994
2.5670 -2.5670 8.6994
2.5670 2.5670 -8.6994
Cs Nb Tc
2 2 4
Direct
0.0000 0.0000 0.0000 Cs
0.7500 0.2500 0.5000 Cs
0.2500 0.7500 0.5000 Nb
0.5000 0.5000 0.0000 Nb
0.3727 0.1250 0.7477 Tc
0.3750 0.6273 0.7523 Tc
0.3773 0.6250 0.2523 Tc
0.8750 0.6227 0.2477 Tc
```

Values from the calculation:
As for the space group: I-42d. The total energy comes out at -25.01 eV per formula unit. The formation energy from the elements is 641 kJ/mol of formula units. Its energy above the most stable polymorph in this dataset is 63 meV/atom.